[1]
AcTl3F6 | GGA-PBE | optimized geometry

Cell and atoms, written as extended XYZ:
```
20
Lattice="-1.663 -3.574 -2.027 6.637 -3.240 0.269 -3.069 -5.308 11.875" Properties=species:S:1:pos:R:3 pbc="T T T"
Ac 0.953 -6.061 5.058
Ac 0.000 0.000 0.000
Tl 3.277 -8.788 7.959
Tl 2.487 -3.407 -0.879
Tl -1.372 -3.335 2.158
Tl 2.877 -2.996 2.922
Tl -1.535 -2.654 5.937
Tl 0.691 -5.552 9.222
F -2.759 -7.255 10.207
F -1.304 -5.503 5.925
F 1.087 -4.853 2.818
F 0.818 -7.269 7.298
F 3.209 -6.620 4.192
F 4.664 -4.868 -0.090
F 1.001 -3.495 5.340
F 1.766 -1.406 1.030
F -2.054 -4.530 9.671
F 5.622 -4.018 2.473
F 1.802 -7.143 11.115
F 2.567 -5.054 6.804
```

Output
Calculated total energy, eV per atom: -4.94
Formation energy from raw total energies, eV/atom: -2.695
Calculated volume, Å³/cell: 438
SG: Pnnm, No. 58

***

[2]
AcTlF6 | GGA-PBE | optimized geometry

Cell and atoms, written as extended XYZ:
```
8
Lattice="6.515 0.000 0.000 3.257 5.642 0.000 3.257 1.881 5.319" Properties=species:S:1:pos:R:3 pbc="T T T"
Ac 6.515 3.761 2.660
Tl 0.000 0.000 0.000
F 8.221 4.746 1.267
F 6.515 1.792 1.267
F 6.515 5.731 4.052
F 4.809 2.777 4.052
F 4.809 4.746 1.267
F 8.221 2.777 4.052
```

Output
Calculated total energy, eV per atom: -5.19
Formation energy from raw total energies, eV/atom: -2.979
Calculated volume, Å³/cell: 196
ΔE to the lowest computed polymorph, meV per atom: 0.0
SG: Fm-3m, No. 225

***

[3]
AcTlF | GGA-PBE | optimized geometry

Cell and atoms, written as extended XYZ:
```
3
Lattice="4.286 0.000 0.000 -2.143 3.712 0.000 0.000 0.000 5.582" Properties=species:S:1:pos:R:3 pbc="T T T"
Ac 2.143 1.237 2.791
Tl 0.000 0.000 5.582
F 0.000 2.474 2.793
```

Output
Calculated total energy, eV per atom: -4.62
Formation energy from raw total energies, eV/atom: -1.833
Calculated volume, Å³/cell: 89
ΔE to the lowest computed polymorph, meV per atom: 125.0
SG: P-6m2, No. 187

***

[4]
Ac2Tl3F8 | GGA-PBE | optimized geometry

Cell and atoms, written as extended XYZ:
```
13
Lattice="-2.358 -3.340 1.104 6.228 -2.739 5.016 -7.466 6.026 2.299" Properties=species:S:1:pos:R:3 pbc="T T T"
Ac -3.433 0.779 3.156
Ac -0.163 -0.832 5.263
Tl -1.179 -1.670 0.552
Tl -7.642 1.493 4.448
Tl 4.047 -1.546 3.970
F 1.653 0.059 3.715
F -5.249 -0.112 4.704
F -1.815 1.785 1.532
F -1.781 -1.838 6.887
F -2.230 0.648 5.327
F -5.533 2.109 2.691
F 1.937 -2.162 5.728
F -1.365 -0.701 3.092
```

Output
Calculated total energy, eV per atom: -5.37
Formation energy from raw total energies, eV/atom: -3.043
Calculated volume, Å³/cell: 278
SG: P2/m, No. 10

***

[5]
AcTlF6 | GGA-PBE | optimized geometry

Cell and atoms, written as extended XYZ:
```
8
Lattice="4.788 -0.537 0.426 0.903 4.629 1.113 -0.945 -0.474 4.748" Properties=species:S:1:pos:R:3 pbc="T T T"
Ac 0.000 0.000 0.000
Tl 2.373 1.809 3.144
F 3.250 1.667 5.161
F 1.591 -0.114 3.892
F 4.070 0.445 2.833
F 3.155 3.732 2.395
F 1.496 1.951 1.127
F 0.676 3.173 3.455
```

Output
Calculated total energy, eV per atom: -5.16
Formation energy from raw total energies, eV/atom: -2.945
Calculated volume, Å³/cell: 112
ΔE to the lowest computed polymorph, meV per atom: 33.5
SG: P-1, No. 2

***

[6]
AcTlF | GGA-PBE | optimized geometry

Cell and atoms, written as extended XYZ:
```
6
Lattice="-0.627 -0.496 4.098 4.621 0.579 0.777 -0.792 8.013 -1.280" Properties=species:S:1:pos:R:3 pbc="T T T"
F 2.533 8.223 0.318
F 0.669 -0.126 3.277
Tl 2.569 3.051 3.953
Tl 0.632 5.046 -0.357
Ac 2.428 6.508 2.221
Ac 0.774 1.589 1.374
```

Output
Calculated total energy, eV per atom: -4.74
Formation energy from raw total energies, eV/atom: -1.958
Calculated volume, Å³/cell: 155
ΔE to the lowest computed polymorph, meV per atom: 0.0
SG: Cmcm, No. 63

***

[7]
AcTlF | GGA-PBE | optimized geometry

Cell and atoms, written as extended XYZ:
```
3
Lattice="-0.636 2.458 -2.672 -3.349 -1.445 -0.533 -0.405 3.484 5.843" Properties=species:S:1:pos:R:3 pbc="T T T"
Ac -3.088 2.330 0.335
Tl -0.032 0.053 0.056
F -1.270 2.114 2.247
```

Output
Calculated total energy, eV per atom: -4.33
Formation energy from raw total energies, eV/atom: -1.544
Calculated volume, Å³/cell: 86
ΔE to the lowest computed polymorph, meV per atom: 413.9
SG: I4mm, No. 107